Entry 1:
## Ca5Nd3Te8 (PBE)

Data for Ca5Nd3Te8 after structural relaxation.

Results
- M_tot (μB/f.u.) = 0.00
- SG = No. 166
- uncorrected energy (eV per atom) = -4.63

a = 8.9653 Å, b = 8.9653 Å, c = 9.0457 Å
α = 60.29°, β = 60.29°, γ = 60.00°
Last column: nearest neighbours and their distance in Å.
Fractional coordinates of all 16 atoms:
Ca1 0.5000 0.0000 0.0000  6 Te 3.16-3.17
Ca2 0.5000 0.5000 0.0000  6 Te 3.16-3.17
Ca3 0.0000 0.0000 0.0000  6 Te 3.18
Ca4 0.0000 0.5000 0.0000  6 Te 3.16-3.17
Ca5 0.5000 0.5000 0.5000  6 Te 3.18
Nd1 0.5000 0.0000 0.5000  6 Te 3.20-3.21
Nd2 0.0000 0.0000 0.5000  6 Te 3.20-3.21
Nd3 0.0000 0.5000 0.5000  6 Te 3.20-3.21
Te1 0.2500 0.2500 0.7528  4 Ca 3.17-3.18, 2 Nd 3.20
Te2 0.2500 0.7472 0.7528  4 Ca 3.17-3.18, 2 Nd 3.20
Te3 0.7472 0.2500 0.7528  4 Ca 3.17-3.18, 2 Nd 3.20
Te4 0.7483 0.7483 0.7552  3 Ca 3.16, 3 Nd 3.21
Te5 0.7500 0.7500 0.2472  4 Ca 3.17-3.18, 2 Nd 3.20
Te6 0.7500 0.2528 0.2472  4 Ca 3.17-3.18, 2 Nd 3.20
Te7 0.2528 0.7500 0.2472  4 Ca 3.17-3.18, 2 Nd 3.20
Te8 0.2517 0.2517 0.2448  3 Ca 3.16, 3 Nd 3.21

Entry 2:
## CaNd3Te4 (PBE)

Data for CaNd3Te4 after structural relaxation.

Results
- M_tot (μB/f.u.) = 0.00
- SG = No. 65
- uncorrected energy (eV per atom) = -5.08

a = 4.4599 Å, b = 7.8110 Å, c = 7.8110 Å
α = 108.94°, β = 90.00°, γ = 90.00°
Last column: nearest neighbours and their distance in Å.
Fractional coordinates of all 8 atoms:
Ca1 0.5000 0.0000 0.0000  6 Te 3.14-3.15
Nd1 0.0000 0.0000 0.5000  6 Te 3.18
Nd2 0.5000 0.5000 0.5000  6 Te 3.21
Nd3 0.0000 0.5000 0.0000  6 Te 3.18
Te1 0.0000 0.2458 0.2458  2 Ca 3.15, 4 Nd 3.18-3.21
Te2 0.5000 0.7528 0.2472  1 Ca 3.14, 5 Nd 3.18-3.21
Te3 0.0000 0.7542 0.7542  2 Ca 3.15, 4 Nd 3.18-3.21
Te4 0.5000 0.2472 0.7528  1 Ca 3.14, 5 Nd 3.18-3.21

Entry 3:
## Ca2Nd3Te6 (PBE)

Data for Ca2Nd3Te6 after structural relaxation.

Results
- M_tot (μB/f.u.) = 0.00
- SG = No. 12
- uncorrected energy (eV per atom) = -4.90

a = 7.7611 Å, b = 7.7577 Å, c = 7.8463 Å
α = 80.51°, β = 70.76°, γ = 59.99°
Last column: nearest neighbours and their distance in Å.
Fractional coordinates of all 11 atoms:
Ca1 0.1668 0.6664 0.5000  6 Te 3.17
Ca2 0.8332 0.3336 0.5000  6 Te 3.17
Nd1 0.0000 0.0000 0.0000  6 Te 3.19-3.20
Nd2 0.3337 0.3327 0.0000  6 Te 3.19-3.20
Nd3 0.6663 0.6673 0.0000  6 Te 3.19-3.20
Te1 0.4173 0.6679 0.7478  2 Ca 3.17, 3 Nd 3.19-3.20
Te2 0.7496 0.0000 0.7471  2 Ca 3.17, 3 Nd 3.19-3.20
Te3 0.0852 0.3321 0.7478  2 Ca 3.17, 3 Nd 3.19-3.20
Te4 0.2504 0.0000 0.2529  2 Ca 3.17, 3 Nd 3.19-3.20
Te5 0.5827 0.3321 0.2522  2 Ca 3.17, 3 Nd 3.19-3.20
Te6 0.9148 0.6679 0.2522  2 Ca 3.17, 3 Nd 3.19-3.20

Entry 4:
## Ca3Nd4Te8 (PBE)

Data for Ca3Nd4Te8 after structural relaxation.

Results
- M_tot (μB/f.u.) = 0.00
- SG = No. 12
- uncorrected energy (eV per atom) = -4.87

a = 8.9720 Å, b = 8.9767 Å, c = 8.9767 Å
α = 90.10°, β = 119.82°, γ = 119.82°
Last column: nearest neighbours and their distance in Å.
Fractional coordinates of all 15 atoms:
Ca1 0.5000 0.5000 0.0000  6 Te 3.17-3.19
Ca2 0.5000 0.0000 0.5000  6 Te 3.17-3.19
Ca3 0.5000 0.5000 0.5000  6 Te 3.16-3.18
Nd1 0.5000 0.0000 0.0000  6 Te 3.17-3.20
Nd2 0.0000 0.5000 0.0000  6 Te 3.17-3.19
Nd3 0.0000 0.0000 0.0000  6 Te 3.20-3.23
Nd4 0.0000 0.0000 0.5000  6 Te 3.17-3.19
Te1 0.5020 0.2510 0.2510  3 Ca 3.17-3.18, 2 Nd 3.17-3.20
Te2 0.0000 0.7470 0.2530  3 Nd 3.17-3.22, 2 Ca 3.19
Te3 0.0014 0.2551 0.2551  4 Nd 3.18-3.23, 1 Ca 3.18
Te4 0.5000 0.7486 0.2514  3 Ca 3.16-3.17, 3 Nd 3.19
Te5 0.5000 0.2514 0.7486  3 Ca 3.16-3.17, 3 Nd 3.19
Te6 0.9986 0.7449 0.7449  4 Nd 3.18-3.23, 1 Ca 3.18
Te7 0.0000 0.2530 0.7470  3 Nd 3.17-3.22, 2 Ca 3.19
Te8 0.4980 0.7490 0.7490  3 Ca 3.17-3.18, 2 Nd 3.17-3.20